DFT (PBE) results for crystalline LiSn2Pd2 at its relaxed geometry.

Lattice parameters (Å, degrees): 7.5691 7.5691 3.3774 90.00 90.00 90.00
With the nearest neighbours (Å) after each atom.
Atoms (fractional coordinates):
Li (0.0000, 0.0000, 0.0000)  4 Pd 2.94
Li (0.5000, 0.5000, 0.0000)  4 Pd 2.94
Sn (0.1620, 0.3380, 0.5000)  6 Pd 2.73-2.83
Sn (0.3380, 0.8380, 0.5000)  6 Pd 2.73-2.83
Sn (0.6620, 0.1620, 0.5000)  6 Pd 2.73-2.83
Sn (0.8380, 0.6620, 0.5000)  6 Pd 2.73-2.83
Pd (0.1372, 0.6372, 0.0000)  6 Sn 2.73-2.83, 2 Li 2.94, 1 Pd 2.94
Pd (0.3628, 0.1372, 0.0000)  6 Sn 2.73-2.83, 2 Li 2.94, 1 Pd 2.94
Pd (0.6372, 0.8628, 0.0000)  6 Sn 2.73-2.83, 2 Li 2.94, 1 Pd 2.94
Pd (0.8628, 0.3628, 0.0000)  6 Sn 2.73-2.83, 2 Li 2.94, 1 Pd 2.94

DFT formation energy   -464 meV per atom
Symmetry   P4/mbm (127)
Energy   -22.62 eV per formula unit

***

DFT (PBE) results for crystalline ScZn6Ag5 at its relaxed geometry.

Lattice parameters (Å, degrees): 7.5288 7.5288 4.2317 106.29 106.29 61.94
With the nearest neighbours (Å) after each atom.
Atoms (fractional coordinates):
Sc (0.0000, 0.0000, 0.0000)  8 Zn 2.87-2.93, 4 Ag 2.90
Zn (0.0945, 0.5713, 0.8315)  7 Ag 2.75-2.94, 1 Sc 2.87, 4 Zn 2.92-2.94
Zn (0.2615, 0.7385, 0.5000)  6 Ag 2.81-2.83, 2 Sc 2.93, 4 Zn 2.93-2.94
Zn (0.4287, 0.9055, 0.1685)  7 Ag 2.75-2.94, 1 Sc 2.87, 4 Zn 2.92-2.94
Zn (0.5713, 0.0945, 0.8315)  7 Ag 2.75-2.94, 1 Sc 2.87, 4 Zn 2.92-2.94
Zn (0.7385, 0.2615, 0.5000)  6 Ag 2.81-2.83, 2 Sc 2.93, 4 Zn 2.93-2.94
Zn (0.9055, 0.4287, 0.1685)  7 Ag 2.75-2.94, 1 Sc 2.87, 4 Zn 2.92-2.94
Ag (0.1625, 0.1625, 0.6622)  8 Zn 2.78-2.94, 2 Ag 2.89-2.90, 2 Sc 2.90
Ag (0.3247, 0.3247, 0.3233)  8 Zn 2.79-2.83, 4 Ag 2.89-3.01
Ag (0.5000, 0.5000, 0.0000)  8 Zn 2.75-2.81, 4 Ag 3.00-3.01
Ag (0.6753, 0.6753, 0.6767)  8 Zn 2.79-2.83, 4 Ag 2.89-3.01
Ag (0.8375, 0.8375, 0.3378)  8 Zn 2.78-2.94, 2 Ag 2.89-2.90, 2 Sc 2.90

DFT formation energy   -85 meV per atom
Symmetry   C2/m (12)
Energy   -29.25 eV per formula unit

***

DFT (PBE) results for crystalline Mg2GaBr at its relaxed geometry.

Lattice parameters (Å, degrees): 7.2942 7.2942 7.2942 90.00 90.00 90.00
With the nearest neighbours (Å) after each atom.
Atoms (fractional coordinates):
Mg (0.2500, 0.2500, 0.2500)  4 Br 3.16, 4 Ga 3.16
Mg (0.2500, 0.2500, 0.7500)  4 Br 3.16, 4 Ga 3.16
Mg (0.2500, 0.7500, 0.2500)  4 Br 3.16, 4 Ga 3.16
Mg (0.2500, 0.7500, 0.7500)  4 Br 3.16, 4 Ga 3.16
Mg (0.7500, 0.2500, 0.2500)  4 Br 3.16, 4 Ga 3.16
Mg (0.7500, 0.2500, 0.7500)  4 Br 3.16, 4 Ga 3.16
Mg (0.7500, 0.7500, 0.2500)  4 Br 3.16, 4 Ga 3.16
Mg (0.7500, 0.7500, 0.7500)  4 Br 3.16, 4 Ga 3.16
Ga (0.0000, 0.0000, 0.0000)  8 Mg 3.16
Ga (0.0000, 0.5000, 0.5000)  8 Mg 3.16
Ga (0.5000, 0.0000, 0.5000)  8 Mg 3.16
Ga (0.5000, 0.5000, 0.0000)  8 Mg 3.16
Br (0.0000, 0.0000, 0.5000)  8 Mg 3.16
Br (0.0000, 0.5000, 0.0000)  8 Mg 3.16
Br (0.5000, 0.0000, 0.0000)  8 Mg 3.16
Br (0.5000, 0.5000, 0.5000)  8 Mg 3.16

Uncorrected formation energy   0.0095 eV per atom
Symmetry   Fm-3m (225)
Energy   -7.85 eV per formula unit

***

DFT (PBE) results for crystalline EuMgCdPt at its relaxed geometry.

Lattice parameters (Å, degrees): 7.1087 7.1087 7.1087 90.00 90.00 90.00
With the nearest neighbours (Å) after each atom.
Atoms (fractional coordinates):
Eu (0.0000, 0.0000, 0.0000)  4 Cd 3.08, 4 Pt 3.08
Eu (0.0000, 0.5000, 0.5000)  4 Cd 3.08, 4 Pt 3.08
Eu (0.5000, 0.0000, 0.5000)  4 Cd 3.08, 4 Pt 3.08
Eu (0.5000, 0.5000, 0.0000)  4 Cd 3.08, 4 Pt 3.08
Mg (0.0000, 0.0000, 0.5000)  4 Cd 3.08, 4 Pt 3.08
Mg (0.0000, 0.5000, 0.0000)  4 Cd 3.08, 4 Pt 3.08
Mg (0.5000, 0.0000, 0.0000)  4 Cd 3.08, 4 Pt 3.08
Mg (0.5000, 0.5000, 0.5000)  4 Cd 3.08, 4 Pt 3.08
Cd (0.2500, 0.2500, 0.7500)  4 Mg 3.08, 4 Eu 3.08
Cd (0.2500, 0.7500, 0.2500)  4 Mg 3.08, 4 Eu 3.08
Cd (0.7500, 0.2500, 0.2500)  4 Mg 3.08, 4 Eu 3.08
Cd (0.7500, 0.7500, 0.7500)  4 Eu 3.08, 4 Mg 3.08
Pt (0.2500, 0.2500, 0.2500)  4 Mg 3.08, 4 Eu 3.08
Pt (0.2500, 0.7500, 0.7500)  4 Mg 3.08, 4 Eu 3.08
Pt (0.7500, 0.2500, 0.7500)  4 Mg 3.08, 4 Eu 3.08
Pt (0.7500, 0.7500, 0.2500)  4 Mg 3.08, 4 Eu 3.08

DFT formation energy   -477 meV per atom
Symmetry   F-43m (216)
Energy   -20.73 eV per formula unit

***

DFT (PBE) results for crystalline AcCuNiN at its relaxed geometry.

Lattice parameters (Å, degrees): 3.9297 3.9297 8.7620 90.00 90.00 90.00
With the nearest neighbours (Å) after each atom.
Atoms (fractional coordinates):
Ac (0.2500, 0.2500, 0.1611)  5 N 2.53-2.79
Ac (0.7500, 0.7500, 0.8389)  5 N 2.53-2.79
Cu (0.2500, 0.7500, 0.5000)  4 Ni 2.43
Cu (0.7500, 0.2500, 0.5000)  4 Ni 2.43
Ni (0.2500, 0.2500, 0.6639)  1 N 1.83
Ni (0.7500, 0.7500, 0.3361)  1 N 1.83
N (0.2500, 0.2500, 0.8727)  1 Ni 1.83
N (0.7500, 0.7500, 0.1273)  1 Ni 1.83

Uncorrected formation energy   -0.4827 eV per atom
Symmetry   P4/nmm (129)
Energy   -24.24 eV per formula unit

***

DFT (PBE) results for crystalline ZrTc at its relaxed geometry.

Lattice parameters (Å, degrees): 7.9582 7.9582 4.9611 90.00 90.00 90.00
With the nearest neighbours (Å) after each atom.
Atoms (fractional coordinates):
Zr (0.0795, 0.2921, 0.0000)  2 Tc 2.71-2.86, 2 Zr 2.82
Zr (0.0895, 0.6995, 0.5000)  2 Tc 2.61-2.64, 2 Zr 2.82
Zr (0.2921, 0.9205, 0.0000)  2 Tc 2.71-2.86, 2 Zr 2.82
Zr (0.3005, 0.0895, 0.5000)  2 Tc 2.61-2.64, 2 Zr 2.82
Zr (0.6995, 0.9105, 0.5000)  2 Tc 2.61-2.64, 2 Zr 2.82
Zr (0.7079, 0.0795, 0.0000)  2 Tc 2.71-2.86, 2 Zr 2.82
Zr (0.9105, 0.3005, 0.5000)  2 Tc 2.61-2.64, 2 Zr 2.82
Zr (0.9205, 0.7079, 0.0000)  2 Tc 2.71-2.86, 2 Zr 2.82
Tc (0.2605, 0.4190, 0.5000)  2 Zr 2.61-2.64, 4 Tc 2.74-2.85
Tc (0.2865, 0.5618, 0.0000)  4 Tc 2.50-2.74, 1 Zr 2.71
Tc (0.4190, 0.7395, 0.5000)  2 Zr 2.61-2.64, 4 Tc 2.74-2.85
Tc (0.4382, 0.2865, 0.0000)  4 Tc 2.50-2.74, 1 Zr 2.71
Tc (0.5618, 0.7135, 0.0000)  4 Tc 2.50-2.74, 1 Zr 2.71
Tc (0.5810, 0.2605, 0.5000)  2 Zr 2.61-2.64, 4 Tc 2.74-2.85
Tc (0.7135, 0.4382, 0.0000)  4 Tc 2.50-2.74, 1 Zr 2.71
Tc (0.7395, 0.5810, 0.5000)  2 Zr 2.61-2.64, 4 Tc 2.74-2.85

DFT formation energy   257 meV per atom
Symmetry   P4/m (83)
Energy   -18.40 eV per formula unit

***

DFT (PBE) results for crystalline Na2Ca2Hf at its relaxed geometry.

Lattice parameters (Å, degrees): 6.0605 6.0605 9.0621 90.00 90.00 90.00
With the nearest neighbours (Å) after each atom.
Atoms (fractional coordinates):
Na (0.0000, 0.0000, 0.1379)  1 Na 2.50
Na (0.0000, 0.0000, 0.8621)  1 Na 2.50
Na (0.5000, 0.5000, 0.3621)  1 Na 2.50
Na (0.5000, 0.5000, 0.6379)  1 Na 2.50
Ca (0.0000, 0.5000, 0.2500)  4 Na 3.20
Ca (0.0000, 0.5000, 0.7500)  4 Na 3.20
Ca (0.5000, 0.0000, 0.2500)  4 Na 3.20
Ca (0.5000, 0.0000, 0.7500)  4 Na 3.20
Hf (0.0000, 0.0000, 0.5000)  2 Na 3.28
Hf (0.5000, 0.5000, 0.0000)  2 Na 3.28

DFT formation energy   760 meV per atom
Symmetry   I4/mmm (139)
Energy   -12.79 eV per formula unit

***

DFT (PBE) results for crystalline KZr2Pd at its relaxed geometry.

Lattice parameters (Å, degrees): 3.4748 4.6412 15.0233 90.00 90.18 90.00
With the nearest neighbours (Å) after each atom.
Atoms (fractional coordinates):
K (0.0000, 0.0000, 0.0000)  1 Pd 3.29, 2 K 3.47
K (0.4961, 0.5000, 0.2547)  1 Pd 3.29, 2 K 3.47
Zr (0.4852, 0.0000, 0.6335)  2 Pd 2.82, 6 Zr 2.90-3.15
Zr (0.4877, 0.5000, 0.7958)  4 Pd 2.91, 2 Zr 3.15
Zr (0.9831, 0.0000, 0.4589)  4 Pd 2.91, 2 Zr 3.15
Zr (0.9851, 0.5000, 0.6212)  2 Pd 2.81-2.82, 6 Zr 2.90-3.15
Pd (0.4828, 0.5000, 0.4737)  6 Zr 2.81-2.91
Pd (0.9871, 0.0000, 0.7809)  6 Zr 2.82-2.91

DFT formation energy   -117 meV per atom
Symmetry   Pm (6)
Energy   -23.86 eV per formula unit

***

DFT (PBE) results for crystalline TbPrRhAu at its relaxed geometry.

Lattice parameters (Å, degrees): 7.1954 7.1954 7.1954 90.00 90.00 90.00
With the nearest neighbours (Å) after each atom.
Atoms (fractional coordinates):
Tb (0.0000, 0.0000, 0.0000)  4 Rh 3.12, 4 Au 3.12
Tb (0.0000, 0.5000, 0.5000)  4 Rh 3.12, 4 Au 3.12
Tb (0.5000, 0.0000, 0.5000)  4 Rh 3.12, 4 Au 3.12
Tb (0.5000, 0.5000, 0.0000)  4 Rh 3.12, 4 Au 3.12
Pr (0.0000, 0.0000, 0.5000)  4 Rh 3.12, 4 Au 3.12
Pr (0.0000, 0.5000, 0.0000)  4 Rh 3.12, 4 Au 3.12
Pr (0.5000, 0.0000, 0.0000)  4 Rh 3.12, 4 Au 3.12
Pr (0.5000, 0.5000, 0.5000)  4 Rh 3.12, 4 Au 3.12
Rh (0.2500, 0.2500, 0.2500)  4 Pr 3.12, 4 Tb 3.12
Rh (0.2500, 0.7500, 0.7500)  4 Tb 3.12, 4 Pr 3.12
Rh (0.7500, 0.2500, 0.7500)  4 Tb 3.12, 4 Pr 3.12
Rh (0.7500, 0.7500, 0.2500)  4 Tb 3.12, 4 Pr 3.12
Au (0.2500, 0.2500, 0.7500)  4 Tb 3.12, 4 Pr 3.12
Au (0.2500, 0.7500, 0.2500)  4 Tb 3.12, 4 Pr 3.12
Au (0.7500, 0.2500, 0.2500)  4 Tb 3.12, 4 Pr 3.12
Au (0.7500, 0.7500, 0.7500)  4 Tb 3.12, 4 Pr 3.12

DFT formation energy   -721 meV per atom
Symmetry   F-43m (216)
Energy   -22.92 eV per formula unit

***

DFT (PBE) results for crystalline Ba2BiSe at its relaxed geometry.

Lattice parameters (Å, degrees): 8.9597 8.9597 8.5890 90.00 90.00 90.00
With the nearest neighbours (Å) after each atom.
Atoms (fractional coordinates):
Ba (0.2184, 0.7500, 0.1250)  2 Se 3.16, 2 Bi 3.54
Ba (0.2500, 0.2184, 0.8750)  2 Se 3.16, 2 Bi 3.54
Ba (0.2500, 0.2816, 0.3750)  2 Se 3.16, 2 Bi 3.54
Ba (0.2816, 0.7500, 0.6250)  2 Se 3.16, 2 Bi 3.54
Ba (0.7184, 0.2500, 0.6250)  2 Se 3.16, 2 Bi 3.54
Ba (0.7500, 0.7184, 0.3750)  2 Se 3.16, 2 Bi 3.54
Ba (0.7500, 0.7816, 0.8750)  2 Se 3.16, 2 Bi 3.54
Ba (0.7816, 0.2500, 0.1250)  2 Se 3.16, 2 Bi 3.54
Bi (0.0000, 0.0000, 0.5000)  4 Ba 3.54
Bi (0.0000, 0.5000, 0.7500)  4 Ba 3.54
Bi (0.5000, 0.0000, 0.2500)  4 Ba 3.54
Bi (0.5000, 0.5000, 0.0000)  4 Ba 3.54
Se (0.0000, 0.0000, 0.0000)  4 Ba 3.16
Se (0.0000, 0.5000, 0.2500)  4 Ba 3.16
Se (0.5000, 0.0000, 0.7500)  4 Ba 3.16
Se (0.5000, 0.5000, 0.5000)  4 Ba 3.16

Uncorrected formation energy   -1.1042 eV per atom
Symmetry   I-42d (122)
Energy   -15.63 eV per formula unit

***

DFT (PBE) results for crystalline Pm3Ru at its relaxed geometry.

Lattice parameters (Å, degrees): 11.8107 11.8107 6.5006 90.00 90.00 90.00
With the nearest neighbours (Å) after each atom.
Atoms (fractional coordinates):
Pm (0.0315, 0.5968, 0.1913)  2 Ru 2.84-2.87
Pm (0.0968, 0.9685, 0.6913)  2 Ru 2.84-2.87
Pm (0.1108, 0.6689, 0.6897)  1 Ru 2.90
Pm (0.1203, 0.1904, 0.0232)  2 Ru 2.82-3.12
Pm (0.1689, 0.8892, 0.1897)  1 Ru 2.90
Pm (0.1904, 0.3797, 0.4768)  2 Ru 2.82-3.12
Pm (0.3096, 0.1203, 0.4768)  2 Ru 2.82-3.12
Pm (0.3311, 0.6108, 0.1897)  1 Ru 2.90
Pm (0.3797, 0.3096, 0.0232)  2 Ru 2.82-3.12
Pm (0.3892, 0.8311, 0.6897)  1 Ru 2.90
Pm (0.4032, 0.5315, 0.6913)  2 Ru 2.84-2.87
Pm (0.4685, 0.9032, 0.1913)  2 Ru 2.84-2.87
Pm (0.5315, 0.0968, 0.8087)  2 Ru 2.84-2.87
Pm (0.5968, 0.4685, 0.3087)  2 Ru 2.84-2.87
Pm (0.6108, 0.1689, 0.3103)  1 Ru 2.90
Pm (0.6203, 0.6904, 0.9768)  2 Ru 2.82-3.12
Pm (0.6689, 0.3892, 0.8103)  1 Ru 2.90
Pm (0.6904, 0.8797, 0.5232)  2 Ru 2.82-3.12
Pm (0.8096, 0.6203, 0.5232)  2 Ru 2.82-3.12
Pm (0.8311, 0.1108, 0.8103)  1 Ru 2.90
Pm (0.8797, 0.8096, 0.9768)  2 Ru 2.82-3.12
Pm (0.8892, 0.3311, 0.3103)  1 Ru 2.90
Pm (0.9032, 0.0315, 0.3087)  2 Ru 2.84-2.87
Pm (0.9685, 0.4032, 0.8087)  2 Ru 2.84-2.87
Ru (0.0541, 0.1843, 0.5051)  5 Pm 2.82-3.12
Ru (0.1843, 0.4459, 0.9949)  5 Pm 2.82-3.12
Ru (0.3157, 0.0541, 0.9949)  5 Pm 2.82-3.12
Ru (0.4459, 0.3157, 0.5051)  5 Pm 2.82-3.12
Ru (0.5541, 0.6843, 0.4949)  5 Pm 2.82-3.12
Ru (0.6843, 0.9459, 0.0051)  5 Pm 2.82-3.12
Ru (0.8157, 0.5541, 0.0051)  5 Pm 2.82-3.12
Ru (0.9459, 0.8157, 0.4949)  5 Pm 2.82-3.12

DFT formation energy   -136 meV per atom
Symmetry   P4_2/n (86)
Energy   -24.07 eV per formula unit

***

DFT (PBE) results for crystalline SmDy6Ho2 at its relaxed geometry.

Lattice parameters (Å, degrees): 3.5487 8.6787 9.3796 90.02 100.85 90.07
With the nearest neighbours (Å) after each atom.
Atoms (fractional coordinates):
Sm (0.0000, 0.0000, 0.0000)  2 Sm 3.55, 6 Dy 3.55-3.56, 4 Ho 3.55-3.56
Dy (0.1111, 0.6658, 0.2226)  4 Ho 3.53-3.55, 7 Dy 3.53-3.55, 1 Sm 3.55
Dy (0.2217, 0.3342, 0.4441)  10 Dy 3.53-3.55, 2 Ho 3.54
Dy (0.3328, 0.0002, 0.6654)  9 Dy 3.52-3.55, 2 Sm 3.56, 1 Ho 3.56
Dy (0.6672, 0.9998, 0.3346)  9 Dy 3.52-3.55, 2 Sm 3.56, 1 Ho 3.56
Dy (0.7783, 0.6659, 0.5559)  10 Dy 3.53-3.55, 2 Ho 3.54
Dy (0.8889, 0.3342, 0.7774)  4 Ho 3.53-3.55, 7 Dy 3.53-3.55, 1 Sm 3.55
Ho (0.4441, 0.6652, 0.8887)  3 Ho 3.53-3.55, 7 Dy 3.53-3.56, 2 Sm 3.55-3.56
Ho (0.5559, 0.3348, 0.1113)  3 Ho 3.53-3.55, 7 Dy 3.53-3.56, 2 Sm 3.55-3.56

DFT formation energy   17 meV per atom
Symmetry   P-1 (2)
Energy   -41.33 eV per formula unit